[1]
Computed, not measured: crystalline Dy5PtSe5 at its relaxed geometry at the PBE level of DFT.

Unit cell a=12.9973 b=5.8019 c=8.1980 alpha=90.00 beta=108.39 gamma=90.00
Space group C2/m (No. 12)
Asymmetric unit:
Dy  0.0000  0.0000  0.0000
Dy  0.1550  0.5000  0.8318
Dy  0.1602  0.5000  0.3304
Pt  0.0000  0.5000  0.0000
Se  0.0000  0.5000  0.5000
Se  0.1722  0.0000  0.8395
Se  0.1783  0.0000  0.3332

Computed properties:
**Raw formation energy**: -18.732 eV/f.u.
**Total magnetization**: 0.00 μB/cell



[2]
Computed, not measured: crystalline TbPr3Pb2 at its relaxed geometry at the PBE level of DFT.

Unit cell a=5.0204 b=16.5913 c=4.5507 alpha=90.00 beta=90.00 gamma=90.00
Space group Cmmm (No. 65)
Asymmetric unit:
Tb  0.0000  0.0000  0.0000
Pr  0.0000  0.1768  0.5000
Pr  0.0000  0.5000  0.5000
Pb  0.0000  0.3515  0.0000

Computed properties:
**ΔE_f**: -401 meV per atom
**Energy above the lowest structure with this stoichiometry**: 0.039 eV per atom
**Total magnetization**: 0.00 μB/cell



[3]
Computed, not measured: crystalline Pm3GeS6 at its relaxed geometry at the PBE level of DFT.

Unit cell a=10.9237 b=13.6159 c=6.7398 alpha=90.00 beta=90.00 gamma=90.00
Space group Cmc2_1 (No. 36)
Asymmetric unit:
Pm  0.0000  0.0999  0.0000
Pm  0.1854  0.4006  0.0803
Ge  0.0000  0.3018  0.6225
S  0.0000  0.2822  0.2564
S  0.0000  0.4633  0.7707
S  0.1613  0.0265  0.2902
S  0.1661  0.2354  0.7977

Computed properties:
**Raw formation energy**: -15.830 eV/f.u.
**Total magnetization**: 0.00 μB/cell



[4]
Computed, not measured: crystalline Pr2NdSm12 at its relaxed geometry at the PBE level of DFT.

Unit cell a=7.1814 b=11.5874 c=25.1213 alpha=90.00 beta=90.00 gamma=90.00
Space group Cmme (No. 67)
Asymmetric unit:
Pr  0.0000  0.2500  0.2258
Pr  0.0000  0.2500  0.7668
Nd  0.0000  0.2500  0.4993
Sm  0.0000  0.0019  0.5769
Sm  0.0000  0.0235  0.0595
Sm  0.2306  0.2500  0.9182
Sm  0.2482  0.2500  0.3716
Sm  0.2500  0.0000  0.1723
Sm  0.2500  0.0000  0.3001

Computed properties:
**ΔE_f**: 151 meV per atom
**Total magnetization**: 0.00 μB/cell



[5]
Computed, not measured: crystalline La4PmPr4 at its relaxed geometry at the PBE level of DFT.

Unit cell a=11.1373 b=11.1373 c=5.2760 alpha=90.00 beta=90.00 gamma=90.00
Space group I4/mmm (No. 139)
Asymmetric unit:
La  0.0000  0.3337  0.0000
Pm  0.0000  0.0000  0.0000
Pr  0.1654  0.1654  0.5000

Computed properties:
**ΔE_f**: 14 meV per atom
**Energy above the lowest structure with this stoichiometry**: 0.000 eV per atom
**Total magnetization**: 0.00 μB/cell



[6]
Computed, not measured: crystalline Fe2IrW at its relaxed geometry at the PBE level of DFT.

Unit cell a=2.6800 b=3.5805 c=5.3725 alpha=90.00 beta=90.00 gamma=90.00
Space group Pmmm (No. 47)
Asymmetric unit:
Fe  0.0000  0.0000  0.2402
Ir  0.5000  0.5000  0.0000
W  0.5000  0.5000  0.5000

Computed properties:
**ΔE_f**: 51 meV per atom
**Total magnetization**: 0.00 μB/cell



[7]
Computed, not measured: crystalline ZnCr4Ag at its relaxed geometry at the PBE level of DFT.

Unit cell a=6.8352 b=6.8352 c=6.8352 alpha=90.00 beta=90.00 gamma=90.00
Space group F-43m (No. 216)
Asymmetric unit:
Zn  0.0000  0.0000  0.0000
Cr  0.1262  0.1262  0.3738
Ag  0.2500  0.2500  0.7500

Computed properties:
**ΔE_f**: 474 meV per atom
**Total magnetization**: 0.00 μB/cell



[8]
Computed, not measured: crystalline LiCa2Ga2 at its relaxed geometry at the PBE level of DFT.

Unit cell a=3.8979 b=3.8979 c=18.3927 alpha=90.00 beta=90.00 gamma=90.00
Space group I4/mmm (No. 139)
Asymmetric unit:
Li  0.0000  0.0000  0.0000
Ca  0.0000  0.0000  0.3899
Ga  0.0000  0.5000  0.2500

Computed properties:
**ΔE_f**: -71 meV per atom
**Energy above the lowest structure with this stoichiometry**: 0.298 eV per atom
**Total magnetization**: 0.00 μB/cell



DFT total energy, record by record: -5.928; -4.799; -5.946; -4.579; -4.828; -9.634; -6.629; -2.465 eV per atom